P | NaLiSe2: optimized geometry, PBE.

a b c (Å): 6.8683 6.8683 6.8683
angles (deg): 90.00 90.00 90.00
Closest atoms and distances in Å follow each position.
Space group Fm-3m (No. 225)
Symmetry-distinct sites (fractional):
Na  0.0000  0.0000  0.0000 x4  8 Se 2.97
Li  0.0000  0.0000  0.5000 x4  8 Se 2.97
Se  0.2500  0.2500  0.2500 x8  4 Na 2.97, 4 Li 2.97

Computed properties:
Volume in Å³ per cell: 324
DOS at the Fermi energy in states/eV/f.u.: 2.80
Total magnetization in μB/f.u.: 0.00

Q | NaLiSe2: optimized geometry, PBE.

a b c (Å): 5.5291 8.2890 4.0872
angles (deg): 90.00 90.00 90.00
Closest atoms and distances in Å follow each position.
Space group Cmmm (No. 65)
Symmetry-distinct sites (fractional):
Na  0.0000  0.0000  0.0000 x2  8 Se 3.22, 4 Li 3.44
Li  0.0000  0.5000  0.5000 x2  4 Se 2.49
Se  0.2500  0.2500  0.5000 x4  2 Li 2.49, 2 Se 2.76

Computed properties:
Volume in Å³ per cell: 187
DOS at the Fermi energy in states/eV/f.u.: 0.88
Total magnetization in μB/f.u.: 0.00

Most stable to least stable, the ends of the list are Q and P.

P | NaLiSe2: optimized geometry, PBE.

a b c (Å): 3.4683 3.4683 27.1792
angles (deg): 90.00 90.00 120.00
Closest atoms and distances in Å follow each position.
Space group R-3m (No. 166, hexagonal axes)
Symmetry-distinct sites (fractional):
Na  0.0000  0.0000  0.0000 x3  6 Se 2.95
Li  0.0000  0.0000  0.5000 x3  2 Se 2.36
Se  0.0000  0.0000  0.4130 x6  1 Li 2.36

Computed properties:
Volume in Å³ per cell: 283
DOS at the Fermi energy in states/eV/f.u.: 2.95
Total magnetization in μB/f.u.: 0.00

Q | NaLiSe2: optimized geometry, PBE.

a b c (Å): 5.1465 5.1465 16.2310
angles (deg): 90.00 90.00 90.00
Closest atoms and distances in Å follow each position.
Space group I-42d (No. 122)
Symmetry-distinct sites (fractional):
Na  0.0000  0.0000  0.0000 x4  4 Se 3.24
Li  0.0000  0.0000  0.5000 x4  4 Se 2.44
Se  0.0774  0.2500  0.6250 x8  2 Li 2.44, 2 Se 2.69

Computed properties:
Volume in Å³ per cell: 430
DOS at the Fermi energy in states/eV/f.u.: 0.00
Total magnetization in μB/f.u.: 0.00

Most stable to least stable, the ends of the list are Q and P.

P | NaLi2Si2: optimized geometry, PBE.

a b c (Å): 4.3721 4.3721 10.6824
angles (deg): 90.00 90.00 90.00
Closest atoms and distances in Å follow each position.
Space group I4/mmm (No. 139)
Symmetry-distinct sites (fractional):
Na  0.0000  0.0000  0.0000 x2  8 Si 3.28, 8 Li 3.45
Li  0.0000  0.5000  0.2500 x4  4 Si 2.69
Si  0.0000  0.0000  0.3973 x4  1 Si 2.19

Computed properties:
Volume in Å³ per cell: 204
DOS at the Fermi energy in states/eV/f.u.: 2.30
Total magnetization in μB/f.u.: 0.00

Q | NaLi2Si2: optimized geometry, PBE.

a b c (Å): 7.6704 7.6704 2.9727
angles (deg): 90.00 90.00 90.00
Closest atoms and distances in Å follow each position.
Space group P4/mbm (No. 127)
Symmetry-distinct sites (fractional):
Na  0.0000  0.0000  0.0000 x2  2 Na 2.97, 4 Si 3.12, 8 Li 3.17
Li  0.1851  0.3149  0.5000 x4  6 Si 2.70-2.76, 2 Li 2.97
Si  0.1072  0.6072  0.0000 x4  1 Si 2.33

Computed properties:
Volume in Å³ per cell: 175
DOS at the Fermi energy in states/eV/f.u.: 2.35
Total magnetization in μB/f.u.: 0.00

Most stable to least stable, the ends of the list are Q and P.

P | NaLiSi: optimized geometry, PBE.

a b c (Å): 4.4269 4.4269 8.5005
angles (deg): 90.00 90.00 120.00
Closest atoms and distances in Å follow each position.
Space group P-3m1 (No. 164)
Symmetry-distinct sites (fractional):
Na  0.3333  0.6667  0.3267 x2  3 Si 3.04, 1 Li 3.12
Li  0.3333  0.6667  0.9595 x2  3 Li 2.65, 6 Si 2.67-2.95
Si  0.0000  0.0000  0.1333 x2  1 Si 2.27

Computed properties:
Volume in Å³ per cell: 144
DOS at the Fermi energy in states/eV/f.u.: 0.99
Total magnetization in μB/f.u.: 0.00

Q | NaLiSi: optimized geometry, PBE.

a b c (Å): 3.2907 5.2078 7.2406
angles (deg): 109.41 90.02 108.41
Closest atoms and distances in Å follow each position.
Space group P-1 (No. 2)
Symmetry-distinct sites (fractional):
Na  0.1510  0.3010  0.0835 x2  3 Na 2.79-3.12, 2 Li 2.93-2.94, 2 Si 3.11-3.12
Li  0.1756  0.3519  0.5817 x2  4 Si 2.63-2.67, 2 Li 2.73, 2 Na 2.93-2.94
Si  0.4984  0.9963  0.6758 x2  1 Si 2.56, 4 Li 2.63-2.67

Computed properties:
Volume in Å³ per cell: 110
DOS at the Fermi energy in states/eV/f.u.: 0.64
Total magnetization in μB/f.u.: 0.00

Most stable to least stable, the ends of the list are P and Q.

P | NaLiSi: optimized geometry, PBE.

a b c (Å): 3.1919 3.1919 11.3692
angles (deg): 90.00 90.00 90.00
Closest atoms and distances in Å follow each position.
Space group I4mm (No. 107)
Symmetry-distinct sites (fractional):
Na  0.0000  0.0000  0.0000 x2  4 Si 3.04, 4 Na 3.19, 5 Li 3.27-3.32
Li  0.0000  0.0000  0.2922 x2  4 Si 2.59
Si  0.0000  0.0000  0.6797 x2  4 Li 2.59

Computed properties:
Volume in Å³ per cell: 116
DOS at the Fermi energy in states/eV/f.u.: 1.86
Total magnetization in μB/f.u.: 0.00

Q | NaLiSi: optimized geometry, PBE.

a b c (Å): 3.7743 5.6630 7.1038
angles (deg): 78.29 74.81 89.96
Closest atoms and distances in Å follow each position.
Space group P1 (No. 1)
Symmetry-distinct sites (fractional):
Na  0.0000  0.0000  0.0000 x1  4 Si 3.04-3.21
Na  0.2683  0.6769  0.4690 x1  4 Si 3.05-3.21, 1 Li 3.41
Li  0.5395  0.5271  0.9198 x1  3 Si 2.65-2.67
Li  0.7304  0.1513  0.5475 x1  3 Si 2.65-2.67
Si  0.3673  0.2120  0.2693 x1  2 Si 2.36
Si  0.9020  0.4660  0.1983 x1  2 Si 2.36

Computed properties:
Volume in Å³ per cell: 143
DOS at the Fermi energy in states/eV/f.u.: 0.74
Total magnetization in μB/f.u.: 0.00

Most stable to least stable, the ends of the list are Q and P.

P | NaLiSi2Tc: optimized geometry, PBE.

a b c (Å): 4.7583 4.7583 3.5984
angles (deg): 90.00 90.00 90.00
Closest atoms and distances in Å follow each position.
Space group P4/mmm (No. 123)
Symmetry-distinct sites (fractional):
Na  0.0000  0.0000  0.0000 x1  2 Li 1.80
Li  0.0000  0.0000  0.5000 x1  2 Na 1.80
Si  0.0000  0.5000  0.0000 x2  2 Na 2.38
Tc  0.5000  0.5000  0.5000 x1  8 Si 2.98

Computed properties:
Volume in Å³ per cell: 81
DOS at the Fermi energy in states/eV/f.u.: 4.88
Total magnetization in μB/f.u.: 0.00

Q | NaLiSi2Tc: optimized geometry, PBE.

a b c (Å): 4.6045 4.6045 5.4295
angles (deg): 90.00 90.00 90.00
Closest atoms and distances in Å follow each position.
Space group P4/mmm (No. 123)
Symmetry-distinct sites (fractional):
Na  0.0000  0.0000  0.0000 x1  2 Tc 2.71
Li  0.5000  0.5000  0.0000 x1  4 Na 3.26, 8 Si 3.56
Si  0.0000  0.5000  0.5000 x2  2 Tc 2.30
Tc  0.0000  0.0000  0.5000 x1  4 Si 2.30

Computed properties:
Volume in Å³ per cell: 115
DOS at the Fermi energy in states/eV/f.u.: 2.34
Total magnetization in μB/f.u.: 0.00

Most stable to least stable, the ends of the list are Q and P.

P | NaLi2Sm: optimized geometry, PBE.

a b c (Å): 3.3308 3.3308 36.0750
angles (deg): 90.00 90.00 120.00
Closest atoms and distances in Å follow each position.
Space group R-3m (No. 166, hexagonal axes)
Symmetry-distinct sites (fractional):
Na  0.0000  0.0000  0.0000 x3  6 Na 3.33, 6 Li 3.48
Li  0.0000  0.0000  0.4139 x6  1 Sm 3.11, 6 Li 3.33
Sm  0.0000  0.0000  0.5000 x3  2 Li 3.11, 6 Sm 3.33

Computed properties:
Volume in Å³ per cell: 347
DOS at the Fermi energy in states/eV/f.u.: 2.51
Total magnetization in μB/f.u.: 0.00

Q | NaLi2Sm: optimized geometry, PBE.

a b c (Å): 5.9211 3.4267 11.4009
angles (deg): 90.00 99.53 90.00
Closest atoms and distances in Å follow each position.
Space group Cm (No. 8)
Symmetry-distinct sites (fractional):
Na  0.0000  0.0000  0.0000 x2  6 Na 3.42-3.43, 6 Li 3.45-3.47
Li  0.0819  0.5000  0.7473 x2  3 Sm 3.41-3.42, 6 Li 3.42-3.43, 3 Na 3.46-3.47
Li  0.4174  0.0000  0.2517 x2  3 Sm 3.41-3.42, 6 Li 3.42-3.43, 3 Na 3.45-3.46
Sm  0.3335  0.5000  0.4992 x2  6 Li 3.41-3.42, 6 Sm 3.42-3.43

Computed properties:
Volume in Å³ per cell: 228
DOS at the Fermi energy in states/eV/f.u.: 2.78
Total magnetization in μB/f.u.: 0.00

R | NaLi2Sm: optimized geometry, PBE.

a b c (Å): 3.4449 3.4449 9.1459
angles (deg): 90.00 90.00 90.00
Closest atoms and distances in Å follow each position.
Space group P4/mmm (No. 123)
Symmetry-distinct sites (fractional):
Na  0.0000  0.0000  0.0000 x1  8 Li 3.30, 4 Na 3.44
Li  0.5000  0.5000  0.2441 x2  4 Na 3.30, 4 Sm 3.38, 4 Li 3.44
Sm  0.0000  0.0000  0.5000 x1  8 Li 3.38, 4 Sm 3.44

Computed properties:
Volume in Å³ per cell: 109
DOS at the Fermi energy in states/eV/f.u.: 3.02
Total magnetization in μB/f.u.: 0.00

Most stable to least stable, the ends of the list are Q and P.

P | NaLiSm: optimized geometry, PBE.

a b c (Å): 3.3347 3.3347 16.2824
angles (deg): 90.00 90.00 90.00
Closest atoms and distances in Å follow each position.
Space group I4mm (No. 107)
Symmetry-distinct sites (fractional):
Na  0.0000  0.0000  0.0000 x2  4 Na 3.33, 4 Li 3.52
Li  0.0000  0.0000  0.3398 x2  4 Li 3.33, 4 Sm 3.45, 4 Na 3.52
Sm  0.0000  0.0000  0.6856 x2  4 Sm 3.33, 4 Li 3.45

Computed properties:
Volume in Å³ per cell: 181
DOS at the Fermi energy in states/eV/f.u.: 3.00
Total magnetization in μB/f.u.: 0.00

Q | NaLiSm: optimized geometry, PBE.

a b c (Å): 3.5586 3.5586 14.3589
angles (deg): 90.00 90.00 90.00
Closest atoms and distances in Å follow each position.
Space group P4/nmm (No. 129, origin choice 2)
Symmetry-distinct sites (fractional):
Na  0.2500  0.2500  0.0960 x2  4 Li 3.36, 8 Na 3.56-3.73
Li  0.2500  0.2500  0.7491 x2  4 Na 3.36, 4 Sm 3.42, 4 Li 3.56
Sm  0.2500  0.2500  0.4125 x2  4 Li 3.42, 8 Sm 3.56

Computed properties:
Volume in Å³ per cell: 182
DOS at the Fermi energy in states/eV/f.u.: 3.04
Total magnetization in μB/f.u.: 0.00

R | NaLiSm: optimized geometry, PBE.

a b c (Å): 3.4592 3.4592 8.7647
angles (deg): 90.00 90.00 120.00
Closest atoms and distances in Å follow each position.
Space group P3m1 (No. 156)
Symmetry-distinct sites (fractional):
Na  0.0000  0.0000  0.0000 x1  6 Na 3.46, 3 Li 3.51, 3 Sm 3.74
Li  0.3333  0.6667  0.6702 x1  3 Sm 3.37, 6 Li 3.46, 3 Na 3.51
Sm  0.6667  0.3333  0.3601 x1  3 Li 3.37, 6 Sm 3.46, 3 Na 3.74

Computed properties:
Volume in Å³ per cell: 91
DOS at the Fermi energy in states/eV/f.u.: 2.00
Total magnetization in μB/f.u.: 0.00

Most stable to least stable, the ends of the list are Q and P.